(1)
The following is a GGA-PBE calculation of an optimized crystal structure of LaBeAl, from the Alexandria database.

a = 6.0554 Å, b = 4.3614 Å, c = 5.6719 Å
α = 80.31°, β = 108.21°, γ = 69.86°
With the nearest neighbours (Å) after each atom.
Fractional positions:
Be: 0.6769 0.6121 0.1832  1 Be 2.14
Be: 0.0027 0.6073 0.4787  1 Be 2.14
Al: 0.8767 0.1402 0.5877  3 Be 2.43-2.46
Al: 0.8033 0.0791 0.0747  3 Be 2.43-2.46
La: 0.4556 0.8232 0.6067  3 Be 2.96-3.21, 1 La 3.19, 3 Al 3.23-3.30
La: 0.2244 0.3960 0.0557  3 Be 2.96-3.21, 1 La 3.19, 3 Al 3.23-3.30

- Volume: 21.17 Å³/atom
- Energy relative to the lowest polymorph listed for this composition: 39 meV per atom
- Calculated formation energy: -0.158 eV per atom

=====

(2)
The following is a GGA-PBE calculation of an optimized crystal structure of Pm5Dy4Ho3, from the Alexandria database.

a = 7.1621 Å, b = 11.3284 Å, c = 12.9159 Å
α = 151.30°, β = 56.35°, γ = 129.27°
With the nearest neighbours (Å) after each atom.
Fractional positions:
Pm: 0.3349 0.6662 0.8314  5 Dy 3.56-3.60, 4 Ho 3.56-3.59, 3 Pm 3.57-3.60
Pm: 0.5000 0.0000 0.5000  4 Pm 3.57-3.59, 4 Ho 3.58-3.59, 4 Dy 3.59
Pm: 0.7494 0.4994 0.9995  6 Pm 3.57-3.60, 3 Ho 3.58, 3 Dy 3.59
Pm: 0.2506 0.5006 0.0005  6 Pm 3.57-3.60, 3 Ho 3.58, 3 Dy 3.59
Pm: 0.6651 0.3338 0.1686  5 Dy 3.56-3.60, 4 Ho 3.56-3.59, 3 Pm 3.57-3.60
Dy: 0.9161 0.8316 0.6662  4 Ho 3.56-3.60, 3 Dy 3.56-3.58, 5 Pm 3.56-3.60
Dy: 0.8355 0.6696 0.8342  4 Dy 3.54-3.58, 3 Ho 3.56-3.58, 5 Pm 3.58-3.59
Dy: 0.1645 0.3304 0.1658  4 Dy 3.54-3.58, 3 Ho 3.56-3.58, 5 Pm 3.58-3.59
Dy: 0.0839 0.1684 0.3338  4 Ho 3.56-3.60, 3 Dy 3.56-3.58, 5 Pm 3.56-3.60
Ho: 0.5858 0.1679 0.3334  6 Dy 3.56-3.60, 5 Pm 3.56-3.59, 1 Ho 3.60
Ho: 0.0000 0.0000 0.5000  8 Pm 3.58, 2 Dy 3.59, 2 Ho 3.60
Ho: 0.4142 0.8321 0.6666  6 Dy 3.56-3.60, 5 Pm 3.56-3.59, 1 Ho 3.60

- Volume: 32.46 Å³/atom
- Energy relative to the lowest polymorph listed for this composition: 0 meV per atom
- Calculated formation energy: 0.015 eV per atom

=====

(3)
The following is a GGA-PBE calculation of an optimized crystal structure of TbHgBPt4, from the Alexandria database.

a = 7.4666 Å, b = 7.4666 Å, c = 7.4666 Å
α = 60.00°, β = 60.00°, γ = 60.00°
With the nearest neighbours (Å) after each atom.
Fractional positions:
Tb: 0.5000 0.5000 0.5000  4 Pt 2.61
Hg: 0.7500 0.7500 0.7500  12 Pt 4.45, 4 Tb 4.57
B: 0.2500 0.2500 0.2500  4 Pt 1.96
Pt: 0.3571 0.3571 0.9287  1 B 1.96
Pt: 0.3571 0.3571 0.3571  1 B 1.96
Pt: 0.3571 0.9287 0.3571  1 B 1.96
Pt: 0.9287 0.3571 0.3571  1 B 1.96

- Volume: 42.05 Å³/atom
- Calculated formation energy: 1.086 eV per atom